# Th4Sn2B

A relaxed Th4Sn2B crystal (PBE-GGA, Alexandria via LeMat-Bulk).

a = 9.0261 Å, b = 9.0261 Å, c = 9.0261 Å
α = 147.57°, β = 147.57°, γ = 46.52°
Element x y z (fractional)
Th 0.0000 0.5000 0.5000
Th 0.1629 0.1629 0.0000
Th 0.5000 0.0000 0.5000
Th 0.8371 0.8371 0.0000
Sn 0.3606 0.3606 0.0000
Sn 0.6394 0.6394 0.0000
B 0.0000 0.0000 0.0000

DFT total energy in eV/atom: -6.61
Volume in Å³/f.u.: 210.72
Magnetic moment in μB/cell: 0.000